No. 1
DFT (GGA-PBE) results for a geometry-optimized Mn2VOs structure.

```
Mn2VOs
1.0
4.225 0.000 0.000
0.000 4.225 0.000
0.000 0.000 2.929
Mn V Os
2 1 1
Cartesian
0.000 2.113 0.000
2.113 0.000 0.000
0.000 0.000 1.465
2.113 2.113 1.465
```

Output
Crystal system: tetragonal
Uncorrected energy, eV/f.u.: -38.88
Magnetization, μB per cell: 3.1
ΔH_f (0 K), eV per atom: -0.049
Symmetry: P4/mmm (123)

***

No. 2
DFT (GGA-PBE) results for a geometry-optimized Mn2V2Os structure.

```
Mn2V2Os
1.0
1.471 -7.420 0.000
1.471 7.420 0.000
0.000 0.000 2.952
Mn V Os
2 2 1
Cartesian
1.471 4.584 0.000
1.471 -4.584 0.000
1.471 1.608 1.476
1.471 -1.608 1.476
0.000 0.000 0.000
```

Output
Crystal system: orthorhombic
Uncorrected energy, eV/f.u.: -47.75
Magnetization, μB per cell: 0.1
ΔH_f (0 K), eV per atom: 0.010
Symmetry: Cmmm (65)

***

No. 3
DFT (GGA-PBE) results for a geometry-optimized MnV3Os structure.

```
MnV3Os
1.0
4.184 -2.439 0.000
4.184 2.439 0.000
-2.431 0.000 6.406
Mn V Os
2 6 2
Cartesian
0.000 0.000 0.000
-0.941 0.000 4.455
1.057 1.242 4.485
2.715 0.000 0.414
4.857 1.243 1.939
1.057 -1.242 4.485
6.910 0.000 2.049
4.857 -1.243 1.939
2.962 0.000 3.237
3.186 0.000 5.996
```

Output
Crystal system: monoclinic
Uncorrected energy, eV/f.u.: -48.09
Magnetization, μB per cell: 0.0
ΔH_f (0 K), eV per atom: -0.067
Symmetry: Cm (8)